No. 1
Pm3TcBi PBE optimized geometry; electronic total energy = -5.8081 eV per atom; crystal system = cubic; density = 7.83 Mg/m³; magnetic moment = 0.0 μB/f.u.; ΔE_f = -0.1084 eV per atom
1.0
5.398 0.000 0.000
0.000 5.398 0.000
0.000 0.000 5.398
Pm Tc Bi
3 1 1
Cartesian
0.000 0.000 2.699
0.000 2.699 0.000
2.699 0.000 0.000
0.000 0.000 0.000
2.699 2.699 2.699

***

No. 2
Pm4TcBi2 PBE optimized geometry; electronic total energy = -5.6422 eV per atom; crystal system = tetragonal; density = 7.93 Mg/m³; magnetic moment = 0.0 μB/f.u.; ΔE_f = -0.3379 eV per atom
1.0
-2.601 2.601 8.475
2.601 -2.601 8.475
2.601 2.601 -8.475
Pm Tc Bi
4 1 2
Cartesian
2.601 0.000 0.000
0.000 0.000 2.884
0.000 2.601 0.000
0.000 0.000 14.066
0.000 0.000 0.000
0.000 0.000 6.111
0.000 0.000 10.839